Sc2TlCd | PBE | optimized geometry

Geometry as extended XYZ:
```
4
Lattice="3.336 0.000 0.000 0.000 3.336 0.000 0.000 0.000 8.609" Properties=species:S:1:pos:R:3 pbc="T T T"
Sc 0.000 0.000 0.000
Sc 1.668 1.668 2.179
Tl 0.000 0.000 4.369
Cd 1.668 1.668 6.581
```

Computed properties:
SG: P4mm (99)
size of the total moment: 0.00 μB/cell
DFT formation energy: -0.12 eV per atom

Sc6TlCd5 | PBE | optimized geometry

Geometry as extended XYZ:
```
12
Lattice="2.504 -7.528 0.000 2.504 7.528 0.000 0.000 0.000 7.102" Properties=species:S:1:pos:R:3 pbc="T T T"
Sc 0.000 0.000 1.764
Sc 0.000 0.000 5.338
Sc 2.504 2.519 1.754
Sc 2.504 2.519 5.347
Sc 2.504 -2.519 1.754
Sc 2.504 -2.519 5.347
Tl 2.504 0.000 3.551
Cd 2.504 5.027 0.000
Cd 2.504 4.950 3.551
Cd 2.504 0.000 0.000
Cd 2.504 -4.950 3.551
Cd 2.504 -5.027 0.000
```

Computed properties:
SG: Cmmm (65)
size of the total moment: 0.00 μB/cell
DFT formation energy: -0.30 eV per atom

Sc4Tl5Cd | PBE | optimized geometry

Geometry as extended XYZ:
```
10
Lattice="8.358 -2.357 0.000 8.358 2.357 0.000 -1.514 0.000 6.058" Properties=species:S:1:pos:R:3 pbc="T T T"
Sc 0.984 0.000 2.085
Sc 3.675 0.000 5.308
Sc 11.527 0.000 0.750
Sc 14.218 0.000 3.973
Tl 0.446 0.000 5.203
Tl 4.358 0.000 2.315
Tl 7.601 0.000 3.029
Tl 10.844 0.000 3.743
Tl 14.756 0.000 0.855
Cd 8.358 0.000 0.000
```

Computed properties:
SG: C2/m (12)
size of the total moment: 0.00 μB/cell
DFT formation energy: -0.20 eV per atom

Sc2TlCd | PBE | optimized geometry

Geometry as extended XYZ:
```
12
Lattice="3.326 0.000 0.000 -1.663 2.880 0.000 0.000 0.000 32.678" Properties=species:S:1:pos:R:3 pbc="T T T"
Sc 0.000 0.000 3.033
Sc 0.000 0.000 29.645
Sc 0.000 1.920 18.753
Sc 0.000 1.920 24.818
Sc 1.663 0.960 7.860
Sc 1.663 0.960 13.925
Tl 0.000 0.000 0.000
Tl 0.000 1.920 21.785
Tl 1.663 0.960 10.893
Cd 0.000 0.000 16.339
Cd 0.000 1.920 5.446
Cd 1.663 0.960 27.232
```

Computed properties:
SG: R-3m (166)
size of the total moment: 0.00 μB/cell
DFT formation energy: 0.06 eV per atom